Record 1
Density functional theory data (PBE) for an optimized crystal structure of KZnRuBr6.

Lattice parameters (Å, degrees): 6.7378 6.7378 7.3753 90.00 90.00 120.00
Space group P312 (No. 149)
Asymmetric unit:
K 0.0000 0.0000 0.0000 (multiplicity 1)
Zn 0.3333 0.6667 0.5000 (multiplicity 1)
Ru 0.6667 0.3333 0.5000 (multiplicity 1)
Br 0.3749 0.0137 0.3034 (multiplicity 6)

Output
As for the formation energy from raw total energies: -6.75 eV per formula unit. The magnetization is 1.02 μB per formula unit.

***

Record 2
Density functional theory data (PBE) for an optimized crystal structure of KS6Br.

Lattice parameters (Å, degrees): 4.4258 4.7597 12.8212 91.99 98.10 91.34
Space group P-1 (No. 2)
Asymmetric unit:
K 0.0000 0.0000 0.0000 (multiplicity 1)
S 0.0354 0.7986 0.3710 (multiplicity 2)
S 0.3188 0.7435 0.2552 (multiplicity 2)
S 0.3207 0.9709 0.7002 (multiplicity 2)
Br 0.5000 0.5000 0.0000 (multiplicity 1)

Output
As for the formation energy from raw total energies: -3.04 eV per formula unit. The magnetization is 0.00 μB per formula unit.

***

Record 3
Density functional theory data (PBE) for an optimized crystal structure of K4SBr2.

Lattice parameters (Å, degrees): 5.9229 5.9229 17.2701 90.00 90.00 90.00
Space group I4/mmm (No. 139)
Asymmetric unit:
K 0.0000 0.0000 0.1727 (multiplicity 4)
K 0.0000 0.5000 0.0000 (multiplicity 4)
S 0.0000 0.0000 0.0000 (multiplicity 2)
Br 0.0000 0.0000 0.3583 (multiplicity 4)

Output
As for the formation energy from raw total energies: -9.38 eV per formula unit. The magnetization is 0.00 μB per formula unit.

***

Record 4
Density functional theory data (PBE) for an optimized crystal structure of K2SBr.

Lattice parameters (Å, degrees): 3.8976 3.8976 8.0485 90.00 90.00 90.00
Space group P4/mmm (No. 123)
Asymmetric unit:
K 0.0000 0.0000 0.2482 (multiplicity 2)
S 0.5000 0.5000 0.0000 (multiplicity 1)
Br 0.5000 0.5000 0.5000 (multiplicity 1)

Output
As for the formation energy from raw total energies: -4.19 eV per formula unit. Its energy relative to the lowest polymorph listed for this composition is 0 meV per atom. The magnetization is 1.00 μB per formula unit.

***

Q: Which value of magnetization does entry 1 give?
A: 1.02 μB per formula unit